1.
KLaOF2: optimized geometry, PBE-GGA.

Its offset from the most stable computed form is 0.00 eV per formula unit. As for the density: 3.6 g/cm³. The total magnetic moment comes out at 0.0 μB/f.u. Its calculated total energy is -6.16 eV/atom.

The structure belongs to space group P4/mmm (No. 123); the cell edges are 4.827, 4.827 and 4.544 Å and the angles 90.00°, 90.00° and 90.00°. The inequivalent atoms are K at (0.000, 0.000, 0.000), La at (0.500, 0.500, 0.500), O at (0.500, 0.500, 0.000) and F at (0.000, 0.500, 0.500).

=====

2.
KLaOF2: optimized geometry, PBE-GGA.

Its offset from the most stable computed form is 5.74 eV per formula unit. As for the density: 4.2 g/cm³. The total magnetic moment comes out at 0.0 μB/f.u. Its calculated total energy is -5.01 eV/atom.

The structure belongs to space group P4/mmm (No. 123); the cell edges are 4.367, 4.367 and 4.851 Å and the angles 90.00°, 90.00° and 90.00°. The inequivalent atoms are K at (0.000, 0.000, 0.000), La at (0.500, 0.500, 0.500), O at (0.000, 0.000, 0.500) and F at (0.000, 0.500, 0.000).

=====

3.
K2RbLaF6: optimized geometry, PBE-GGA.

As for the density: 3.1 g/cm³. The total magnetic moment comes out at 0.3 μB/f.u. Its calculated total energy is -5.25 eV/atom.

The structure belongs to space group R3 (No. 146, hexagonal axes); the cell edges are 6.7022, 6.7022 and 17.2400 Å and the angles 90.00°, 90.00° and 120.00°. The inequivalent atoms are K at (0.0000, 0.0000, 0.0000), K at (0.0000, 0.0000, 0.4940), Rb at (0.0000, 0.0000, 0.2763), La at (0.0000, 0.0000, 0.7862), F at (0.0442, 0.7041, 0.3901) and F at (0.0708, 0.4018, 0.5420).

=====

4.
KLaRh2F: optimized geometry, PBE-GGA.

As for the density: 2.8 g/cm³. The total magnetic moment comes out at 0.0 μB/f.u. Its calculated total energy is -4.61 eV/atom.

The structure belongs to space group P4/mmm (No. 123); the cell edges are 4.798, 4.798 and 10.446 Å and the angles 90.00°, 90.00° and 90.00°. The inequivalent atoms are K at (0.000, 0.000, 0.000), La at (0.000, 0.000, 0.500), Rh at (0.000, 0.500, 0.500) and F at (0.500, 0.500, 0.000).

=====

5.
KLaSF2: optimized geometry, PBE-GGA.

As for the density: 3.2 g/cm³. The total magnetic moment comes out at 0.0 μB/f.u. Its calculated total energy is -5.70 eV/atom.

The structure belongs to space group P4/mmm (No. 123); the cell edges are 4.728, 4.728 and 5.680 Å and the angles 90.00°, 90.00° and 90.00°. The inequivalent atoms are K at (0.000, 0.000, 0.000), La at (0.500, 0.500, 0.500), S at (0.500, 0.500, 0.000) and F at (0.000, 0.500, 0.500).

=====

6.
K2LaTlF8: optimized geometry, PBE-GGA.

As for the density: 4.7 g/cm³. The total magnetic moment comes out at 0.0 μB/f.u. Its calculated total energy is -5.00 eV/atom.

The structure belongs to space group P2/m (No. 10); the cell edges are 4.010, 8.008 and 6.282 Å and the angles 90.00°, 91.53° and 90.00°. The inequivalent atoms are K at (0.000, 0.240, 0.000), La at (0.500, 0.500, 0.500), Tl at (0.500, 0.000, 0.500), F at (0.002, 0.500, 0.718), F at (0.027, 0.000, 0.296) and F at (0.485, 0.240, 0.709).

=====

7.
K2LaZn3F12: optimized geometry, PBE-GGA.

As for the density: 3.8 g/cm³. The total magnetic moment comes out at 1.0 μB/f.u. Its calculated total energy is -4.57 eV/atom.

The structure belongs to space group R-3m (No. 166, hexagonal axes); the cell edges are 7.6156, 7.6156 and 16.6246 Å and the angles 90.00°, 90.00° and 120.00°. The inequivalent atoms are K at (0.0000, 0.0000, 0.1152), La at (0.0000, 0.0000, 0.5000), Zn at (0.0000, 0.5000, 0.0000), F at (0.0225, 0.5112, 0.8802) and F at (0.0838, 0.5419, 0.3094).

=====

8.
K2Li2F3: optimized geometry, PBE-GGA.

As for the density: 2.0 g/cm³. The total magnetic moment comes out at 0.0 μB/f.u. Its calculated total energy is -3.95 eV/atom.

The structure belongs to space group C2/m (No. 12); the cell edges are 12.638, 3.465 and 6.228 Å and the angles 90.00°, 111.87° and 90.00°. The inequivalent atoms are K at (0.105, 0.000, 0.341), Li at (0.168, 0.500, 0.856), F at (0.000, 0.500, 0.500) and F at (0.233, 0.000, 0.803).

=====

9.
K5LiF5: optimized geometry, PBE-GGA.

As for the density: 2.1 g/cm³. The total magnetic moment comes out at 0.6 μB/f.u. Its calculated total energy is -3.89 eV/atom.

The structure belongs to space group C2/m (No. 12); the cell edges are 11.749, 5.366 and 7.615 Å and the angles 90.00°, 106.09° and 90.00°. The inequivalent atoms are K at (0.000, 0.000, 0.000), K at (0.169, 0.500, 0.350), K at (0.171, 0.500, 0.818), Li at (0.000, 0.000, 0.500), F at (0.000, 0.500, 0.500), F at (0.127, 0.000, 0.378) and F at (0.174, 0.000, 0.840).

=====

10.
K3Li5F12: optimized geometry, PBE-GGA.

As for the density: 2.2 g/cm³. The total magnetic moment comes out at 4.0 μB/f.u. Its calculated total energy is -3.97 eV/atom.

The structure belongs to space group Ia-3d (No. 230); the cell edges are 13.182, 13.182 and 13.182 Å and the angles 90.00°, 90.00° and 90.00°. The inequivalent atoms are K at (0.000, 0.250, 0.125), Li at (0.000, 0.000, 0.000), Li at (0.000, 0.250, 0.375) and F at (0.040, 0.044, 0.643).

=====

11.
KLi2F2: optimized geometry, PBE-GGA.

Its offset from the most stable computed form is 2.64 eV per formula unit. As for the density: 1.6 g/cm³. The total magnetic moment comes out at 0.0 μB/f.u. Its calculated total energy is -3.42 eV/atom.

The structure belongs to space group P4/mbm (No. 127); the cell edges are 8.047, 8.047 and 2.926 Å and the angles 90.00°, 90.00° and 90.00°. The inequivalent atoms are K at (0.000, 0.000, 0.000), Li at (0.088, 0.412, 0.000) and F at (0.106, 0.606, 0.500).

=====

12.
KLi2F2: optimized geometry, PBE-GGA.

Its offset from the most stable computed form is 0.17 eV per formula unit. As for the density: 1.4 g/cm³. The total magnetic moment comes out at 0.0 μB/f.u. Its calculated total energy is -3.92 eV/atom.

The structure belongs to space group I4/mmm (No. 139); the cell edges are 3.890, 3.890 and 13.841 Å and the angles 90.00°, 90.00° and 90.00°. The inequivalent atoms are K at (0.000, 0.000, 0.000), Li at (0.000, 0.000, 0.266) and F at (0.000, 0.500, 0.250).